(1)
A relaxed structure of SrCa12Ag6, computed with PBE.

Results
M_tot, μB/f.u.: 0.0
Calculated formation energy, eV/f.u.: -3.2
Crystal system: cubic

abc: 9.4233 9.4233 9.4233
angles: 109.47 109.47 109.47
Last column: nearest neighbours and their distance in Å.
Positions (direct):
Sr  0.0000  0.0000  0.0000  12 Ca 3.86
Ca  0.1189  0.3032  0.8157  3 Ag 2.97-3.24
Ca  0.1843  0.4875  0.3032  3 Ag 2.97-3.24
Ca  0.1843  0.8811  0.6968  3 Ag 2.97-3.24
Ca  0.3032  0.1843  0.4875  3 Ag 2.97-3.24
Ca  0.3032  0.8157  0.1189  3 Ag 2.97-3.24
Ca  0.4875  0.3032  0.1843  3 Ag 2.97-3.24
Ca  0.5125  0.6968  0.8157  3 Ag 2.97-3.24
Ca  0.6968  0.1843  0.8811  3 Ag 2.97-3.24
Ca  0.6968  0.8157  0.5125  3 Ag 2.97-3.24
Ca  0.8157  0.1189  0.3032  3 Ag 2.97-3.24
Ca  0.8157  0.5125  0.6968  3 Ag 2.97-3.24
Ca  0.8811  0.6968  0.1843  3 Ag 2.97-3.24
Ag  0.1269  0.5000  0.6269  1 Ag 2.76, 2 Ca 2.97
Ag  0.3731  0.8731  0.5000  1 Ag 2.76, 2 Ca 2.97
Ag  0.5000  0.3731  0.8731  1 Ag 2.76, 2 Ca 2.97
Ag  0.5000  0.6269  0.1269  1 Ag 2.76, 2 Ca 2.97
Ag  0.6269  0.1269  0.5000  1 Ag 2.76, 2 Ca 2.97
Ag  0.8731  0.5000  0.3731  1 Ag 2.76, 2 Ca 2.97

(2)
A relaxed structure of Sr2CaAg, computed with PBE.

Results
M_tot, μB/f.u.: 0.0
Calculated formation energy, eV/f.u.: -0.2
Crystal system: monoclinic

abc: 7.2938 7.2938 6.1991
angles: 115.02 115.02 32.39
Last column: nearest neighbours and their distance in Å.
Positions (direct):
Sr  0.1976  0.1976  0.1978  2 Ag 3.21
Sr  0.8024  0.8024  0.8022  2 Ag 3.21
Ca  0.0000  0.0000  0.5000  4 Ag 3.71, 4 Sr 3.97-3.98, 2 Ca 4.07
Ag  0.5000  0.5000  0.0000  4 Sr 3.21

(3)
A relaxed structure of Sr3Ca2Ag2, computed with PBE.

Results
M_tot, μB/f.u.: 0.0
Calculated formation energy, eV/f.u.: -1.3
Crystal system: monoclinic

abc: 7.4122 7.4122 9.7216
angles: 112.87 112.87 32.93
Last column: nearest neighbours and their distance in Å.
Positions (direct):
Sr  0.0000  0.0000  0.0000  4 Ag 3.32
Sr  0.1186  0.1186  0.4358  3 Ag 3.39-3.44
Sr  0.8814  0.8814  0.5642  3 Ag 3.39-3.44
Ca  0.3319  0.3319  0.1758  2 Ag 3.12
Ca  0.6681  0.6681  0.8242  2 Ag 3.12
Ag  0.3182  0.3182  0.7869  2 Ca 3.12, 5 Sr 3.32-3.44
Ag  0.6818  0.6818  0.2131  2 Ca 3.12, 5 Sr 3.32-3.44

no.,N(E_F) (states/eV/atom)
1,0.694
2,1.085
3,0.952